Below is a relaxed ZrBeCu2 crystal, with properties calculated at the PBE level.

abc: 3.8882 3.8882 3.8663
angles: 90.00 90.00 90.00
Last column: nearest neighbours and their distance in Å.
Sites, in units of the cell vectors:
Cu 0.5000 0.5000 0.0000  4 Zr 2.74, 4 Be 2.74, 4 Cu 2.75
Cu 0.0000 0.0000 0.0000  4 Zr 2.74, 4 Be 2.74, 4 Cu 2.75
Be 0.0000 0.5000 0.5000  8 Cu 2.74, 4 Zr 2.75
Zr 0.5000 0.0000 0.5000  8 Cu 2.74, 4 Be 2.75

Output
N(E_F) = 4.119 states/eV/f.u.
energy = -4.959 eV/atom
ΔH_f (0 K) = 0.6 eV per formula unit
space-group type = P4/mmm, No. 123